VASP calculation (PBE) on crystalline TbFeNiP2 at its relaxed geometry.

CIF file:
```
data_TbFeNiP2
_space_group_name_H-M_alt 'I -4 m 2'
_space_group_IT_number 119
_space_group_name_Hall 'I -4 -2'
_cell_length_a 3.8576
_cell_length_b 3.8576
_cell_length_c 9.5497
_cell_angle_alpha 90.00
_cell_angle_beta 90.00
_cell_angle_gamma 90.00
loop_
_atom_site_label
_atom_site_type_symbol
_atom_site_fract_x
_atom_site_fract_y
_atom_site_fract_z
_atom_site_occupancy
Tb1 Tb 0.0000 0.0000 0.0000 1
Fe1 Fe 0.0000 0.5000 0.7500 1
Ni1 Ni 0.0000 0.5000 0.2500 1
P1 P 0.0000 0.0000 0.3734 1
```

Summary:
Total magnetic moment   0.303 μB per atom
ΔE_f   -964 meV/atom
Electronic total energy   -6.90 eV per atom
V   142.1 Å³/cell